PBE SiC3Br, relaxed; E above lowest polymorph = 0 meV/atom; space-group type = Pm-3m, No. 221; Fermi-level density of states = 0.680 states/eV per atom; magnetic moment = 0.0 Bohr magnetons per cell; energy = -22.9 eV per formula unit
1.0
3.885 0.000 0.000
0.000 3.885 0.000
0.000 0.000 3.885
Si C Br
1 3 1
direct
0.000 0.000 0.000
0.000 0.500 0.000
0.500 0.000 0.000
0.000 0.000 0.500
0.500 0.500 0.500